(1)
This record from Alexandria describes a geometry-optimized ErBe6Co2 structure. The functional is PBE.

Lattice parameters (Å, degrees): 3.6012 5.8055 5.8055 61.02 71.93 71.93
Fractional positions:
Er1 0.0000 0.0000 0.0000
Be1 0.7147 0.0903 0.4803
Be2 0.2853 0.9097 0.5197
Be3 0.2853 0.5197 0.9097
Be4 0.5000 0.6585 0.3415
Be5 0.5000 0.3415 0.6585
Be6 0.7147 0.4803 0.0903
Co1 0.8677 0.6323 0.6323
Co2 0.1323 0.3677 0.3677

Properties
M_tot = 0.0 Bohr magnetons per cell



(2)
This record from Alexandria describes a geometry-optimized ErBeCo4 structure. The functional is PBE.

Lattice parameters (Å, degrees): 3.5989 6.0143 7.2156 90.00 104.44 90.00
Fractional positions:
Er1 0.1180 0.2500 0.2360
Er2 0.8820 0.7500 0.7640
Be1 0.2269 0.7500 0.4538
Be2 0.7731 0.2500 0.5462
Co1 0.5000 0.5000 0.0000
Co2 0.5000 0.0000 0.0000
Co3 0.6829 0.9409 0.3659
Co4 0.3171 0.0591 0.6341
Co5 0.3171 0.4409 0.6341
Co6 0.6829 0.5591 0.3659
Co7 0.0752 0.7500 0.1504
Co8 0.9248 0.2500 0.8496

Properties
M_tot = 8.3 Bohr magnetons per cell



(3)
This record from Alexandria describes a geometry-optimized ErBe4Co structure. The functional is PBE.

Lattice parameters (Å, degrees): 4.5629 4.5629 4.5629 60.00 60.00 60.00
Fractional positions:
Be1 0.6285 0.6285 0.1144
Be2 0.6285 0.1144 0.6285
Be3 0.6285 0.6285 0.6285
Be4 0.1144 0.6285 0.6285
Co1 0.0000 0.0000 0.0000
Er1 0.2500 0.2500 0.2500

Properties
M_tot = 0.0 Bohr magnetons per cell



| no. | energy of formation from the pure elements (eV/atom) | electronic total energy (eV per cell) |
| --- | --- | --- |
| 1 | -0.06 | -41.674 |
| 2 | -0.05 | -74.082 |
| 3 | -0.15 | -27.454 |